First-principles (PBE) data for a geometry-optimized LaGdNi4 structure, as listed in the Alexandria database.

```
LaGdNi4
1.0
5.1551 0.0000 0.0000
2.5776 4.4645 0.0000
2.5776 1.4882 4.2092
Gd Ni La
1 4 1
direct
0.0000 0.0000 0.0000
0.1228 0.6257 0.6257
0.6257 0.1228 0.6257
0.6257 0.6257 0.1228
0.6257 0.6257 0.6257
0.2500 0.2500 0.2500
```

Energy of formation from the pure elements = -8.3 kcal/mol of atoms
N(E_F) = 4.26 states/eV per cell
Final energy = -7.384 eV/atom